The following is a DFT calculation (GGA+U) of Li2V2P3O12 after structural relaxation.

Unit cell a=8.616 b=8.720 c=12.205 alpha=90.00 beta=90.00 gamma=90.00
Site moments in Bohr magnetons follow the coordinates.
Sites, in units of the cell vectors:
O: 0.844 0.943 0.969  -0.02
O: 0.438 0.138 0.933  -0.05
O: 0.075 0.602 0.155  -0.02
O: 0.156 0.057 0.031  -0.02
O: 0.925 0.398 0.845  -0.02
O: 0.938 0.362 0.433  -0.05
O: 0.075 0.898 0.845  -0.02
O: 0.425 0.102 0.345  -0.02
O: 0.827 0.015 0.772  -0.01
O: 0.344 0.943 0.531  -0.02
O: 0.327 0.485 0.272  -0.01
O: 0.357 0.665 0.082  -0.01
O: 0.575 0.602 0.345  -0.02
O: 0.562 0.638 0.933  -0.05
O: 0.425 0.398 0.655  -0.02
O: 0.161 0.267 0.176  -0.02
O: 0.339 0.767 0.324  -0.02
O: 0.643 0.165 0.082  -0.01
O: 0.656 0.443 0.531  -0.02
O: 0.827 0.485 0.228  -0.01
O: 0.161 0.233 0.824  -0.02
O: 0.925 0.102 0.155  -0.02
O: 0.661 0.233 0.676  -0.02
O: 0.938 0.138 0.567  -0.05
O: 0.327 0.015 0.728  -0.01
O: 0.357 0.835 0.918  -0.01
O: 0.062 0.638 0.567  -0.05
O: 0.844 0.557 0.031  -0.02
O: 0.143 0.165 0.418  -0.01
O: 0.673 0.985 0.272  -0.01
O: 0.062 0.862 0.433  -0.05
O: 0.438 0.362 0.067  -0.05
O: 0.143 0.335 0.582  -0.01
O: 0.643 0.335 0.918  -0.01
O: 0.156 0.443 0.969  -0.02
O: 0.857 0.665 0.418  -0.01
O: 0.673 0.515 0.728  -0.01
O: 0.173 0.985 0.228  -0.01
O: 0.562 0.862 0.067  -0.05
O: 0.575 0.898 0.655  -0.02
O: 0.839 0.767 0.176  -0.02
O: 0.173 0.515 0.772  -0.01
O: 0.344 0.557 0.469  -0.02
O: 0.656 0.057 0.469  -0.02
O: 0.339 0.733 0.676  -0.02
O: 0.661 0.267 0.324  -0.02
O: 0.839 0.733 0.824  -0.02
O: 0.857 0.835 0.582  -0.01
Li: 0.281 0.277 0.317  0.00
Li: 0.719 0.723 0.683  0.00
Li: 0.781 0.223 0.817  0.00
Li: 0.219 0.723 0.817  0.00
Li: 0.219 0.777 0.183  0.00
Li: 0.719 0.777 0.317  0.00
Li: 0.281 0.223 0.683  0.00
Li: 0.781 0.277 0.183  0.00
P: 0.105 0.396 0.854  0.01
P: 0.895 0.896 0.854  0.01
P: 0.895 0.604 0.146  0.01
P: 0.395 0.896 0.646  0.01
P: 0.395 0.604 0.354  0.01
P: 0.605 0.104 0.354  0.01
P: 0.538 0.250 0.000  0.01
P: 0.605 0.396 0.646  0.01
P: 0.105 0.104 0.146  0.01
P: 0.962 0.750 0.500  0.01
P: 0.038 0.250 0.500  0.01
P: 0.462 0.750 0.000  0.01
V: 0.253 0.463 0.114  1.54
V: 0.253 0.037 0.886  1.54
V: 0.753 0.463 0.386  1.54
V: 0.753 0.037 0.614  1.54
V: 0.747 0.537 0.886  1.54
V: 0.747 0.963 0.114  1.54
V: 0.247 0.963 0.386  1.54
V: 0.247 0.537 0.614  1.54

Values from the calculation:
For the density of states at the Fermi level, the calculation gives 0.20 states/eV/atom. The value obtained for the uncorrected energy is -7.22 eV/atom.